No. 1
TcRhO2 (PBE, optimized geometry); distance to the lowest polymorph of the same formula = 1031 meV/atom; ΔE_f (raw) = 5.3 kcal/mol of atoms; total magnetic moment = 0.0 Bohr magnetons per cell
1.0
0.000 2.755 2.755
2.755 0.000 2.755
2.755 2.755 0.000
Tc Rh O
1 1 2
Cartesian
0.000 0.000 0.000 Tc
2.755 2.755 2.755 Rh
1.378 1.378 1.378 O
4.133 4.133 4.133 O


No. 2
Sr2BRhO6 (PBE, optimized geometry); ΔE_f (raw) = -40.1 kcal/mol of atoms; total magnetic moment = 2.0 Bohr magnetons per cell
1.0
3.339 -4.401 0.000
3.339 4.401 0.000
-3.120 0.000 4.170
Sr B Rh O
2 1 1 6
Cartesian
3.339 2.282 0.000 Sr
3.339 -2.282 0.000 Sr
-1.560 0.000 2.085 B
1.779 0.000 2.085 Rh
-0.293 0.000 1.774 O
1.779 1.981 2.085 O
1.975 0.000 0.161 O
1.584 0.000 4.010 O
1.779 -1.981 2.085 O
3.852 0.000 2.396 O


No. 3
Th4ZnRu2 (PBE, optimized geometry); formation energy from the elements = -0.32 eV per atom; total magnetic moment = 0.0 Bohr magnetons per cell
1.0
0.000 7.045 4.295
5.912 0.000 4.295
5.912 7.045 0.000
Th Zn Ru
8 2 4
Cartesian
1.555 0.913 1.326 Th
4.511 2.609 3.474 Th
4.358 6.132 1.326 Th
6.565 5.374 4.295 Th
1.402 4.436 3.474 Th
5.260 8.715 4.295 Th
8.216 8.897 6.442 Th
9.521 12.238 6.442 Th
2.956 3.522 0.694 Zn
5.912 7.045 7.137 Zn
8.224 7.732 3.907 Ru
11.180 9.880 6.055 Ru
3.601 6.357 3.907 Ru
6.557 11.255 6.055 Ru


No. 4
Sc2AuBr (PBE, optimized geometry); distance to the lowest polymorph of the same formula = 126 meV/atom; ΔE_f (raw) = -15.4 kcal/mol of atoms; total magnetic moment = 0.9 Bohr magnetons per cell
1.0
3.331 0.000 0.000
0.000 3.331 0.000
0.000 0.000 7.771
Sc Au Br
2 1 1
Cartesian
0.000 0.000 1.725 Sc
0.000 0.000 6.047 Sc
1.666 1.666 0.000 Au
1.666 1.666 3.886 Br